Entry from Alexandria via LeMat-Bulk: an optimized crystal structure of Mg6VCrO8 (PBE with a Hubbard U).

The structure in extended XYZ format:
```
16
Lattice="4.358 0.000 0.000 0.000 4.358 0.000 0.000 0.000 8.467" Properties=species:S:1:pos:R:3 pbc="T T T"
Mg 0.000 0.000 0.000
Mg 0.000 2.179 2.113
Mg 0.000 2.179 6.354
Mg 2.179 0.000 2.113
Mg 2.179 0.000 6.354
Mg 2.179 2.179 0.000
V 0.000 0.000 4.234
Cr 2.179 2.179 4.234
O 0.000 0.000 2.063
O 0.000 0.000 6.404
O 0.000 2.179 0.000
O 0.000 2.179 4.234
O 2.179 0.000 0.000
O 2.179 0.000 4.234
O 2.179 2.179 2.111
O 2.179 2.179 6.356
```

Calculated values
**Total magnetization**: 0.437 μB/atom
**Final energy**: -102.4 eV per formula unit
**Theoretical density**: 3.89 g cm⁻³